Record 1
GGA-PBE PrSbW, relaxed; energy relative to the lowest polymorph listed for this composition = 0.0000 eV/atom; symmetry = F-43m; calculated volume = 26.81 Å³/atom
1.0
3.050 -3.687 -0.759
1.162 -2.973 3.645
-1.650 -4.555 0.030
Pr W Sb
1 1 1
Direct
0.000 0.000 0.000
0.500 0.500 0.500
0.750 0.750 0.750

Record 2
GGA-PBE PrSbW, relaxed; energy relative to the lowest polymorph listed for this composition = 0.6414 eV/atom; symmetry = F-43m; calculated volume = 30.99 Å³/atom
1.0
-1.154 -4.365 -2.339
-3.956 -0.208 -3.188
0.787 -0.491 -5.000
W Sb Pr
1 1 1
Direct
0.750 0.750 0.750
0.250 0.250 0.250
0.000 0.000 0.000